Material: ErNbCuOs
Method: DFT, PBE
State: optimized geometry

- Crystal system: cubic
- ΔH_f (0 K): -0.08 eV/atom

Cell lengths 6.5569, 6.5569, 6.5569 Å; angles 90.00, 90.00, 90.00 degrees
Last column: nearest neighbours and their distance in Å.
Space group F-43m (No. 216)
Unique sites:
Er1 0.0000 0.0000 0.0000 [4 per cell]  4 Os 2.84, 4 Cu 2.84
Nb1 0.0000 0.0000 0.5000 [4 per cell]  4 Os 2.84, 4 Cu 2.84
Cu1 0.2500 0.2500 0.2500 [4 per cell]  4 Nb 2.84, 4 Er 2.84
Os1 0.2500 0.2500 0.7500 [4 per cell]  4 Nb 2.84, 4 Er 2.84